The following is a DFT calculation (GGA+U) of a geometry-optimized TbFe3B4O12 structure.

Cell and atoms, written as POSCAR:
```
TbFe3B4O12
1.0
6.1225 -0.0018 -0.0025
-1.4633 5.9451 -0.0025
-1.4633 -1.8666 5.6445
Tb Fe B O
1 3 4 12
Direct
0.0000 0.0000 0.0000
0.0000 0.4506 0.5494
0.4506 0.5494 0.0000
0.5494 0.0000 0.4506
0.9487 0.5000 0.0513
0.0513 0.9487 0.5000
0.5000 0.5000 0.5000
0.5000 0.0513 0.9487
0.5000 0.6436 0.3564
0.3564 0.5000 0.6436
0.0294 0.7953 0.6324
0.3676 0.2047 0.9706
0.7953 0.6324 0.0294
0.5000 0.9079 0.0921
0.6436 0.3564 0.5000
0.0921 0.5000 0.9079
0.9706 0.3676 0.2047
0.9079 0.0921 0.5000
0.6324 0.0294 0.7953
0.2047 0.9706 0.3676
```

Calculated values
E_tot: -152.67 eV per cell
Calculated volume: 10.3 Å³/atom
Total magnetic moment: 15.0 μB per formula unit